ZnMoI2O: relaxed, PBE+U. Values from VASP.

Output
- D(E_F): 0.64 states/eV per atom
- Polymorph energy (0 for the lowest one): 0.0 meV per atom
- Uncorrected energy: -17.723 eV/cell

Cell and atoms, written as Quantum ESPRESSO input:
```
&SYSTEM
  ibrav = 0, nat = 5, ntyp = 4
/
ATOMIC_SPECIES
Zn 65.41 Zn.upf
Mo 95.94 Mo.upf
I 126.90 I.upf
O 16.00 O.upf
CELL_PARAMETERS angstrom
5.952 0.000 0.000
0.000 5.952 0.000
0.000 0.000 3.892
ATOMIC_POSITIONS crystal
Zn 0.000 0.000 0.000
Mo 0.500 0.500 0.500
I 0.000 0.500 0.500
I 0.500 0.000 0.500
O 0.500 0.500 0.000
```